TaSbW3 SCAN single point on PBEsol structure; total energy = -59.8545 eV/atom; formation energy from raw total energies = 2727 meV per atom
1.0
-1.057 -3.772 2.689
4.305 -1.818 -0.857
1.709 2.246 3.822
W Sb Ta
3 1 1
direct
0.000 0.500 0.000
0.500 0.000 0.000
0.000 0.000 0.500
0.000 0.000 0.000
0.500 0.500 0.500